The following is a DFT calculation (meta-GGA SCAN) of GeMo2As at its PBEsol-relaxed geometry.

- formation enthalpy at 0 K (eV/f.u.) = 0.2
- crystal system = cubic
- space group = Fm-3m (225)
- DFT total energy (eV per formula unit) = -108.836

Lattice parameters (Å, degrees): 4.3708 4.3708 4.3708 60.00 60.00 60.00
Last column: nearest neighbours and their distance in Å.
Element x y z (fractional)
Mo  0.2500  0.2500  0.2500  4 Ge 2.68, 4 As 2.68
Mo  0.7500  0.7500  0.7500  4 As 2.68, 4 Ge 2.68
Ge  0.0000  0.0000  0.0000  8 Mo 2.68
As  0.5000  0.5000  0.5000  8 Mo 2.68

=====

The following is a DFT calculation (meta-GGA SCAN) of GeMoAsSe2 at its PBEsol-relaxed geometry.

- crystal system = tetragonal
- space group = P4/mmm (123)
- DFT total energy (eV per formula unit) = -111.638
- formation energy from raw total energies (eV per formula unit) = 2.68

Lattice parameters (Å, degrees): 4.8774 4.8422 4.8422 90.00 90.00 90.00
Last column: nearest neighbours and their distance in Å.
Element x y z (fractional)
Mo  0.0000  0.0000  0.0000  4 Se 2.42, 2 As 2.44
Ge  0.5000  0.5000  0.5000  4 As 3.42, 8 Se 3.44
As  0.5000  0.0000  0.0000  2 Mo 2.44
Se  0.0000  0.0000  0.5000  2 Mo 2.42
Se  0.0000  0.5000  0.0000  2 Mo 2.42

=====

Question: Look up the DFT total energy of the first one.
Answer: -108.836 eV per formula unit